The following is a DFT calculation (PBE with a Hubbard U) of a relaxed structure of LiMnPO4.

```
LiMnPO4
1.0
10.315 0.000 0.000
0.000 5.139 0.000
0.000 0.000 6.952
Li Mn P O
4 4 4 16
direct
0.152 0.193 0.000
0.348 0.693 0.500
0.652 0.307 0.000
0.848 0.807 0.500
0.153 0.195 0.500
0.347 0.695 0.000
0.653 0.305 0.500
0.847 0.805 0.000
0.096 0.691 0.750
0.404 0.191 0.250
0.596 0.809 0.750
0.904 0.309 0.250
0.051 0.243 0.244
0.119 0.392 0.757
0.157 0.815 0.933
0.163 0.799 0.566
0.337 0.299 0.066
0.343 0.315 0.433
0.381 0.892 0.257
0.449 0.743 0.744
0.551 0.257 0.244
0.619 0.108 0.757
0.657 0.685 0.933
0.663 0.701 0.566
0.837 0.201 0.066
0.843 0.185 0.433
0.881 0.608 0.257
0.949 0.757 0.744
```

Output
Raw total energy in eV/atom: -7.1736
Energy relative to the lowest polymorph listed for this composition in meV/atom: 8.3
Magnetization in μB/atom: 0.714
Volume in Å³ per cell: 368.6